# 1
# PBE GaHgAs2Se, relaxed
data_GaHgAs2Se
_cell_length_a 5.216
_cell_length_b 5.216
_cell_length_c 5.470
_cell_angle_alpha 90.00
_cell_angle_beta 90.00
_cell_angle_gamma 90.00
_symmetry_space_group_name_H-M 'P 4/m m m'
_symmetry_Int_Tables_number 123
_symmetry_space_group_name_Hall '-P 4 2'
loop_
_atom_site_label
_atom_site_type_symbol
_atom_site_fract_x
_atom_site_fract_y
_atom_site_fract_z
Ga1 Ga 0.000 0.000 0.000
Hg1 Hg 0.500 0.500 0.500
As1 As 0.000 0.500 0.500
Se1 Se 0.500 0.500 0.000
# E above lowest polymorph: 1.23 eV per formula unit
# DOS(E_F): 0.84 states/eV/atom


# 2
Rb2OsCl8 | PBE | relaxed

```
data_Rb2OsCl8
_cell_length_a 12.814
_cell_length_b 10.217
_cell_length_c 6.320
_cell_angle_alpha 90.00
_cell_angle_beta 98.62
_cell_angle_gamma 90.00
_symmetry_space_group_name_H-M 'C 1 2/m 1'
_symmetry_Int_Tables_number 12
_symmetry_space_group_name_Hall '-C 2y'
loop_
_atom_site_label
_atom_site_type_symbol
_atom_site_fract_x
_atom_site_fract_y
_atom_site_fract_z
Rb1 Rb 0.165 0.000 0.402
Os1 Os 0.000 0.500 0.500
Cl1 Cl 0.076 0.000 0.885
Cl2 Cl 0.105 0.339 0.376
Cl3 Cl 0.109 0.500 0.826
```


Energy relative to the elements, uncorrected, record by record: 826, -900 meV/atom
Raw total energy, record by record: -2.3965, -3.4394 eV/atom